# 1
Ca2Pr6Nd3: relaxed, GGA-PBE.

Properties
E in eV per atom: -4.251
Formation energy from the elements in eV/atom: 0.0205

a = 33.8438 Å, b = 33.8438 Å, c = 33.8438 Å
α = 6.31°, β = 6.31°, γ = 6.31°
Closest atoms and distances in Å follow each position.
Positions (direct):
1 Ca 0.0462 0.0462 0.0462  6 Ca 3.72, 6 Pr 3.87
2 Ca 0.9538 0.9538 0.9538  6 Ca 3.72, 6 Pr 3.87
3 Pr 0.1369 0.1369 0.1369  6 Nd 3.70-3.72, 6 Pr 3.72
4 Pr 0.3190 0.3190 0.3190  9 Pr 3.62-3.72, 3 Ca 3.87
5 Pr 0.4112 0.4112 0.4112  3 Nd 3.65, 6 Pr 3.72, 3 Ca 3.87
6 Pr 0.5888 0.5888 0.5888  3 Nd 3.65, 6 Pr 3.72, 3 Ca 3.87
7 Pr 0.6810 0.6810 0.6810  9 Pr 3.62-3.72, 3 Ca 3.87
8 Pr 0.8631 0.8631 0.8631  6 Nd 3.70-3.72, 6 Pr 3.72
9 Nd 0.2264 0.2264 0.2264  6 Pr 3.65-3.72, 6 Nd 3.72
10 Nd 0.5000 0.5000 0.5000  6 Pr 3.70, 6 Nd 3.72
11 Nd 0.7736 0.7736 0.7736  6 Pr 3.65-3.72, 6 Nd 3.72

=====

# 2
Ca2Pr12Nd7: relaxed, GGA-PBE.

Properties
E in eV per atom: -4.470
Formation energy from the elements in eV/atom: 0.0406

a = 15.4888 Å, b = 15.4888 Å, c = 3.6895 Å
α = 90.00°, β = 90.00°, γ = 120.00°
Closest atoms and distances in Å follow each position.
Positions (direct):
1 Ca 0.0000 0.0000 0.0000  2 Ca 3.69, 6 Nd 3.79, 6 Pr 4.08
2 Ca 0.3333 0.6667 0.5000  2 Ca 3.69, 6 Nd 3.81, 6 Pr 4.09
3 Pr 0.0512 0.2564 0.5000  4 Nd 3.48-3.63, 6 Pr 3.69-3.72
4 Pr 0.1230 0.7116 0.0000  4 Nd 3.45-3.64, 6 Pr 3.69-3.80
5 Pr 0.2051 0.9488 0.5000  4 Nd 3.48-3.63, 6 Pr 3.69-3.72
6 Pr 0.2884 0.4115 0.0000  4 Nd 3.45-3.64, 6 Pr 3.69-3.80
7 Pr 0.4161 0.1545 0.0000  4 Nd 3.46-3.67, 8 Pr 3.69-3.84
8 Pr 0.4976 0.4012 0.5000  8 Pr 3.69-3.84, 5 Nd 3.73-3.77
9 Pr 0.5885 0.8770 0.0000  4 Nd 3.45-3.64, 6 Pr 3.69-3.80
10 Pr 0.5988 0.0965 0.5000  8 Pr 3.69-3.84, 5 Nd 3.73-3.77
11 Pr 0.7385 0.5839 0.0000  4 Nd 3.46-3.67, 8 Pr 3.69-3.84
12 Pr 0.7436 0.7949 0.5000  4 Nd 3.48-3.63, 6 Pr 3.69-3.72
13 Pr 0.8455 0.2615 0.0000  4 Nd 3.46-3.67, 8 Pr 3.69-3.84
14 Pr 0.9035 0.5024 0.5000  8 Pr 3.69-3.84, 5 Nd 3.73-3.77
15 Nd 0.0991 0.4778 0.0000  7 Pr 3.45-3.73, 2 Nd 3.69, 2 Ca 3.81
16 Nd 0.2331 0.1870 0.5000  7 Pr 3.48-3.77, 2 Nd 3.69, 2 Ca 3.79
17 Nd 0.3787 0.9009 0.0000  7 Pr 3.45-3.73, 2 Nd 3.69, 2 Ca 3.81
18 Nd 0.5222 0.6213 0.0000  7 Pr 3.45-3.73, 2 Nd 3.69, 2 Ca 3.81
19 Nd 0.6667 0.3333 0.0000  9 Pr 3.46-3.76, 2 Nd 3.69
20 Nd 0.8130 0.0460 0.5000  7 Pr 3.48-3.77, 2 Nd 3.69, 2 Ca 3.79
21 Nd 0.9540 0.7669 0.5000  7 Pr 3.48-3.77, 2 Nd 3.69, 2 Ca 3.79